VASP calculation (GGA-PBE) on a geometry-optimized Hg2Sb2Te structure. Values from VASP.

## Properties
**Magnetization**: 0.00 μB/f.u.
**Symmetry**: P4/mbm, No. 127
**Final energy**: -2.14 eV/atom

The structure in Quantum ESPRESSO input format:
```
&SYSTEM
  ibrav = 0, nat = 10, ntyp = 3
/
ATOMIC_SPECIES
Sb 121.76 Sb.upf
Te 127.60 Te.upf
Hg 200.59 Hg.upf
ATOMIC_POSITIONS angstrom
Sb 1.069 5.896 1.555
Sb 5.896 8.585 1.555
Sb 8.585 3.758 1.555
Sb 3.758 1.069 1.555
Te 0.000 0.000 0.000
Te 4.827 4.827 0.000
Hg 3.041 7.868 0.000
Hg 7.868 6.613 0.000
Hg 6.613 1.786 0.000
Hg 1.786 3.041 0.000
CELL_PARAMETERS angstrom
9.654 0.000 0.000
0.000 9.654 0.000
0.000 0.000 3.109
```



VASP calculation (GGA-PBE) on a geometry-optimized Mg2TaW structure. Values from VASP.

## Properties
**ΔH_f (0 K)**: 32.2 kJ per mole of atoms
**Magnetization**: 0.00 μB/f.u.
**Symmetry**: P4mm, No. 99
**Final energy**: -6.66 eV/atom

The structure in Quantum ESPRESSO input format:
```
&SYSTEM
  ibrav = 0, nat = 4, ntyp = 3
/
ATOMIC_SPECIES
Mg 24.30 Mg.upf
Ta 180.95 Ta.upf
W 183.84 W.upf
ATOMIC_POSITIONS angstrom
Mg 1.101 -8.740 3.440
Mg -1.179 -1.960 2.168
Ta 0.565 -4.489 1.767
W -0.626 -6.352 3.897
CELL_PARAMETERS angstrom
-0.175 0.998 2.590
-2.757 -0.365 -0.045
1.117 -8.869 3.491
```



VASP calculation (GGA-PBE) on a geometry-optimized LaTbPO structure. Values from VASP.

## Properties
**Magnetization**: 0.00 μB/f.u.
**Symmetry**: P4/nmm, No. 129
**Final energy**: -6.99 eV/atom

The structure in Quantum ESPRESSO input format:
```
&SYSTEM
  ibrav = 0, nat = 8, ntyp = 4
/
ATOMIC_SPECIES
La 138.91 La.upf
Tb 158.93 Tb.upf
P 30.97 P.upf
O 16.00 O.upf
ATOMIC_POSITIONS angstrom
La 2.225 0.000 5.549
La 0.000 2.225 3.511
Tb 2.225 2.225 0.000
Tb 0.000 0.000 0.000
P 0.000 2.225 7.388
P 2.225 0.000 1.672
O 0.000 0.000 4.530
O 2.225 2.225 4.530
CELL_PARAMETERS angstrom
4.450 0.000 0.000
0.000 4.450 0.000
0.000 0.000 9.060
```



VASP calculation (GGA-PBE) on a geometry-optimized Zr2Co structure. Values from VASP.

## Properties
**ΔH_f (0 K)**: -22.6 kJ per mole of atoms
**Magnetization**: 0.00 μB/f.u.
**Symmetry**: Cmcm, No. 63
**Final energy**: -8.30 eV/atom

The structure in Quantum ESPRESSO input format:
```
&SYSTEM
  ibrav = 0, nat = 6, ntyp = 2
/
ATOMIC_SPECIES
Co 58.93 Co.upf
Zr 91.22 Zr.upf
ATOMIC_POSITIONS angstrom
Co 0.464 -5.043 2.066
Co 3.266 -2.192 2.336
Zr 4.674 -3.161 4.313
Zr 2.805 -0.205 3.852
Zr 1.608 -3.522 3.857
Zr 0.088 -1.515 1.803
CELL_PARAMETERS angstrom
-0.515 0.192 3.313
0.322 -5.324 2.060
6.134 0.723 0.912
```



VASP calculation (GGA-PBE) on a geometry-optimized KIrAu2 structure. Values from VASP.

## Properties
**ΔH_f (0 K)**: 35.9 kJ per mole of atoms
**Magnetization**: 0.33 μB/f.u.
**Symmetry**: Pmm2, No. 25
**Final energy**: -3.76 eV/atom

The structure in Quantum ESPRESSO input format:
```
&SYSTEM
  ibrav = 0, nat = 4, ntyp = 3
/
ATOMIC_SPECIES
Au 196.97 Au.upf
Ir 192.22 Ir.upf
K 39.10 K.upf
ATOMIC_POSITIONS angstrom
Au 0.000 0.000 0.160
Au 1.365 2.324 2.536
Ir 0.000 0.000 2.889
K 1.365 2.324 5.647
CELL_PARAMETERS angstrom
2.731 0.000 0.000
0.000 4.648 0.000
0.000 0.000 7.488
```



VASP calculation (GGA-PBE) on a geometry-optimized Hf8CoN2 structure. Values from VASP.

## Properties
**Magnetization**: 0.00 μB/f.u.
**Symmetry**: C2/m, No. 12
**Final energy**: -9.80 eV/atom

The structure in Quantum ESPRESSO input format:
```
&SYSTEM
  ibrav = 0, nat = 11, ntyp = 3
/
ATOMIC_SPECIES
Hf 178.49 Hf.upf
Co 58.93 Co.upf
N 14.01 N.upf
ATOMIC_POSITIONS angstrom
Hf -2.738 -4.767 -0.877
Hf -1.405 -6.364 1.792
Hf -0.880 -2.720 -2.262
Hf 1.045 -8.147 1.184
Hf 1.570 -4.504 -2.870
Hf 2.903 -6.100 -0.201
Hf 0.338 -4.094 0.189
Hf -0.173 -6.774 -1.268
Co 0.000 0.000 0.000
N -0.060 -1.901 -0.381
N 0.225 -8.967 -0.697
CELL_PARAMETERS angstrom
-1.739 -1.237 -3.923
5.028 -4.566 -0.463
-3.123 -5.064 3.308
```



VASP calculation (GGA-PBE) on a geometry-optimized SrLi2SbH structure. Values from VASP.

## Properties
**Magnetization**: 0.00 μB/f.u.
**Symmetry**: Cmcm, No. 63
**Final energy**: -3.27 eV/atom

The structure in Quantum ESPRESSO input format:
```
&SYSTEM
  ibrav = 0, nat = 10, ntyp = 4
/
ATOMIC_SPECIES
Sr 87.62 Sr.upf
Li 6.94 Li.upf
Sb 121.76 Sb.upf
H 1.01 H.upf
ATOMIC_POSITIONS angstrom
Sr 0.000 4.966 5.636
Sr 2.295 0.860 1.879
Li 0.000 1.796 7.063
Li 2.295 4.030 0.452
Li 0.000 1.796 4.209
Li 2.295 4.030 3.306
Sb 2.295 2.429 5.636
Sb 0.000 3.397 1.879
H 0.000 0.000 0.000
H 0.000 0.000 3.758
CELL_PARAMETERS angstrom
4.590 0.000 0.000
-2.295 5.826 0.000
0.000 0.000 7.515
```



VASP calculation (GGA-PBE) on a geometry-optimized Ca6InO8 structure. Values from VASP.

## Properties
**Magnetization**: 1.07 μB/f.u.
**Symmetry**: Fm-3m, No. 225
**Final energy**: -6.20 eV/atom

The structure in Quantum ESPRESSO input format:
```
&SYSTEM
  ibrav = 0, nat = 15, ntyp = 3
/
ATOMIC_SPECIES
Ca 40.08 Ca.upf
In 114.82 In.upf
O 16.00 O.upf
ATOMIC_POSITIONS angstrom
Ca 0.983 2.780 5.108
Ca 2.949 0.000 1.703
Ca 3.932 2.780 3.405
Ca 0.000 0.000 3.405
Ca 0.983 2.780 1.703
Ca 2.949 0.000 5.108
In 0.000 0.000 0.000
O 5.898 4.171 10.216
O 1.966 1.390 3.405
O 4.998 1.272 4.963
O 2.866 4.289 8.658
O 1.799 1.272 6.810
O 6.065 4.289 6.810
O 4.998 1.272 8.658
O 2.866 4.289 4.963
CELL_PARAMETERS angstrom
5.898 0.000 3.405
1.966 5.561 3.405
0.000 0.000 6.810
```



VASP calculation (GGA-PBE) on a geometry-optimized NdFe3Ge3 structure. Values from VASP.

## Properties
**ΔH_f (0 K)**: 14.8 kJ per mole of atoms
**Magnetization**: 5.17 μB/f.u.
**Symmetry**: Pm-3n, No. 223
**Final energy**: -6.13 eV/atom

The structure in Quantum ESPRESSO input format:
```
&SYSTEM
  ibrav = 0, nat = 14, ntyp = 3
/
ATOMIC_SPECIES
Ge 72.64 Ge.upf
Nd 144.24 Nd.upf
Fe 55.84 Fe.upf
ATOMIC_POSITIONS angstrom
Ge 0.000 1.623 3.247
Ge 0.000 4.870 3.247
Ge 3.247 0.000 4.870
Ge 4.870 3.247 0.000
Ge 3.247 0.000 1.623
Ge 1.623 3.247 0.000
Nd 3.247 3.247 3.247
Nd 0.000 0.000 0.000
Fe 1.623 0.000 3.247
Fe 0.000 3.247 1.623
Fe 3.247 4.870 0.000
Fe 4.870 0.000 3.247
Fe 0.000 3.247 4.870
Fe 3.247 1.623 0.000
CELL_PARAMETERS angstrom
6.493 0.000 0.000
0.000 6.493 0.000
0.000 0.000 6.493
```



VASP calculation (GGA-PBE) on a geometry-optimized BaLi4Cd12 structure. Values from VASP.

## Properties
**ΔH_f (0 K)**: 2.1 kJ per mole of atoms
**Magnetization**: 0.00 μB/f.u.
**Symmetry**: Im-3, No. 204
**Final energy**: -1.19 eV/atom

The structure in Quantum ESPRESSO input format:
```
&SYSTEM
  ibrav = 0, nat = 17, ntyp = 3
/
ATOMIC_SPECIES
Ba 137.33 Ba.upf
Li 6.94 Li.upf
Cd 112.41 Cd.upf
ATOMIC_POSITIONS angstrom
Ba 0.000 0.000 0.000
Li -1.387 3.923 0.000
Li 4.161 0.000 0.000
Li 1.387 1.962 3.398
Li -1.387 -1.962 3.398
Cd 5.499 1.997 1.291
Cd 1.054 3.368 1.084
Cd 4.494 -1.301 4.421
Cd 0.050 -1.807 5.712
Cd -1.720 5.224 2.375
Cd 1.720 0.555 5.712
Cd 2.824 -0.120 2.375
Cd -0.050 4.043 4.421
Cd 2.725 5.730 1.084
Cd 3.829 3.178 3.337
Cd -1.054 0.745 3.459
Cd -2.725 1.927 5.505
CELL_PARAMETERS angstrom
8.323 0.000 0.000
-2.774 7.847 0.000
-2.774 -3.923 6.796
```



VASP calculation (GGA-PBE) on a geometry-optimized CaP2NCl structure. Values from VASP.

## Properties
**Magnetization**: 0.00 μB/f.u.
**Symmetry**: P4/mmm, No. 123
**Final energy**: -4.65 eV/atom

The structure in Quantum ESPRESSO input format:
```
&SYSTEM
  ibrav = 0, nat = 5, ntyp = 4
/
ATOMIC_SPECIES
P 30.97 P.upf
Ca 40.08 Ca.upf
N 14.01 N.upf
Cl 35.45 Cl.upf
ATOMIC_POSITIONS angstrom
P 0.000 1.930 0.000
P 1.930 0.000 0.000
Ca 1.930 1.930 3.071
N 0.000 0.000 0.000
Cl 0.000 0.000 3.071
CELL_PARAMETERS angstrom
3.860 0.000 0.000
0.000 3.860 0.000
0.000 0.000 6.141
```



VASP calculation (GGA-PBE) on a geometry-optimized Ba2ZrRh structure. Values from VASP.

## Properties
**ΔH_f (0 K)**: 25.4 kJ per mole of atoms
**Magnetization**: 0.00 μB/f.u.
**Symmetry**: I-42d, No. 122
**Final energy**: -4.67 eV/atom

The structure in Quantum ESPRESSO input format:
```
&SYSTEM
  ibrav = 0, nat = 8, ntyp = 3
/
ATOMIC_SPECIES
Rh 102.91 Rh.upf
Ba 137.33 Ba.upf
Zr 91.22 Zr.upf
ATOMIC_POSITIONS angstrom
Rh 0.000 0.000 0.000
Rh -7.817 -5.719 -9.240
Ba -6.375 -2.857 -8.830
Ba -8.199 -8.756 -10.272
Ba -6.973 -6.703 -6.281
Ba -9.721 -4.558 -11.578
Zr -3.744 -5.898 -4.718
Zr -5.535 -11.622 -3.672
CELL_PARAMETERS angstrom
-6.026 0.006 -10.286
-1.462 -11.801 0.850
-5.865 -5.545 -3.476
```